(1)
Material: Ca2Al2Re
Method: DFT, GGA-PBE
State: relaxed

**N(E_F)**: 0.8847 states/eV/atom
**Spin magnetization**: 0.64 μB/f.u.
**ΔH_f (0 K)**: 0.206 eV/atom

Unit cell a=6.790 b=6.790 c=4.967 alpha=90.00 beta=90.00 gamma=90.00
Space group P4/mbm (No. 127)
Inequivalent atoms, fractional coordinates:
Ca 0.179 0.321 0.000 [4 per cell]
Al 0.149 0.649 0.500 [4 per cell]
Re 0.000 0.000 0.500 [2 per cell]

***

(2)
Material: LiPuCuCl6
Method: DFT, GGA-PBE
State: relaxed

**Energy**: -4.886 eV per atom
**N(E_F)**: 0.9131 states/eV/atom
**Spin magnetization**: 4.00 μB/f.u.

Unit cell a=6.4280 b=6.4280 c=12.0272 alpha=90.00 beta=90.00 gamma=120.00
Space group P-31c (No. 163)
Inequivalent atoms, fractional coordinates:
Li 0.0000 0.0000 0.0000 [2 per cell]
Pu 0.3333 0.6667 0.2500 [2 per cell]
Cu 0.3333 0.6667 0.7500 [2 per cell]
Cl 0.0134 0.3452 0.6274 [12 per cell]

***

(3)
Material: Pr2YSc
Method: DFT, GGA-PBE
State: relaxed

**N(E_F)**: 1.4586 states/eV/atom
**Energy above the most stable polymorph in this dataset**: 0.37 kJ/mol of atoms
**Spin magnetization**: 0.00 μB/f.u.
**ΔH_f (0 K)**: 0.043 eV/atom

Unit cell a=5.092 b=5.092 c=4.930 alpha=90.00 beta=90.00 gamma=90.00
Space group P4/mmm (No. 123)
Inequivalent atoms, fractional coordinates:
Pr 0.000 0.500 0.000 [2 per cell]
Y 0.000 0.000 0.500 [1 per cell]
Sc 0.500 0.500 0.500 [1 per cell]

***

(4)
Material: NaH3Pd
Method: DFT, GGA-PBE
State: relaxed

**N(E_F)**: 0.0414 states/eV/atom
**Energy above the most stable polymorph in this dataset**: 12.20 kJ/mol of atoms
**Spin magnetization**: 0.00 μB/f.u.

Unit cell a=21.232 b=3.390 c=3.505 alpha=90.00 beta=93.58 gamma=90.00
Space group C2/m (No. 12)
Inequivalent atoms, fractional coordinates:
Na 0.120 0.000 0.047 [4 per cell]
H 0.000 0.000 0.108 [4 per cell]
H 0.114 0.500 0.565 [4 per cell]
H 0.220 0.000 0.450 [4 per cell]
Pd 0.196 0.500 0.564 [4 per cell]

***

(5)
Material: PmSmBeIn
Method: DFT, GGA-PBE
State: relaxed

**N(E_F)**: 1.2092 states/eV/atom
**Spin magnetization**: 0.00 μB/f.u.
**ΔH_f (0 K)**: -0.086 eV/atom

Unit cell a=7.416 b=7.416 c=7.416 alpha=90.00 beta=90.00 gamma=90.00
Space group F-43m (No. 216)
Inequivalent atoms, fractional coordinates:
Pm 0.000 0.000 0.000 [4 per cell]
Sm 0.000 0.000 0.500 [4 per cell]
Be 0.250 0.250 0.250 [4 per cell]
In 0.250 0.250 0.750 [4 per cell]

***

(6)
Material: KRbBeSe2
Method: DFT, GGA-PBE
State: relaxed

**Energy**: -3.215 eV per atom
**Spin magnetization**: 0.00 μB/f.u.

Unit cell a=5.495 b=8.012 c=6.761 alpha=90.00 beta=90.00 gamma=90.00
Space group Pmma (No. 51)
Inequivalent atoms, fractional coordinates:
K 0.250 0.000 0.100 [2 per cell]
Rb 0.250 0.500 0.289 [2 per cell]
Be 0.000 0.000 0.500 [2 per cell]
Se 0.250 0.204 0.663 [4 per cell]

***

(7)
Material: In3CuHg
Method: DFT, GGA-PBE
State: relaxed

**N(E_F)**: 0.3936 states/eV/atom
**Energy above the most stable polymorph in this dataset**: 0.00 kJ/mol of atoms
**Spin magnetization**: 0.00 μB/f.u.
**ΔH_f (0 K)**: 0.058 eV/atom

Unit cell a=9.554 b=5.673 c=10.146 alpha=90.00 beta=122.00 gamma=90.00
Space group P2_1/c (No. 14)
Inequivalent atoms, fractional coordinates:
In 0.001 0.006 0.166 [4 per cell]
In 0.371 0.632 0.693 [4 per cell]
In 0.379 0.238 0.933 [4 per cell]
Cu 0.269 0.740 0.892 [4 per cell]
Hg 0.178 0.087 0.579 [4 per cell]

***

(8)
Material: SnHCl2
Method: DFT, GGA-PBE
State: relaxed

**N(E_F)**: 0.1682 states/eV/atom
**Energy above the most stable polymorph in this dataset**: 0.00 kJ/mol of atoms
**Spin magnetization**: 0.00 μB/f.u.

Unit cell a=3.417 b=4.650 c=7.058 alpha=92.96 beta=94.89 gamma=90.67
Space group P1 (No. 1)
Inequivalent atoms, fractional coordinates:
Sn 0.000 0.000 0.000 [1 per cell]
H 0.879 0.495 0.489 [1 per cell]
Cl 0.062 0.517 0.206 [1 per cell]
Cl 0.715 0.473 0.651 [1 per cell]

***

(9)
Material: Na2DyBr5
Method: DFT, GGA-PBE
State: relaxed

**N(E_F)**: 0.0000 states/eV/atom
**Energy above the most stable polymorph in this dataset**: 0.00 kJ/mol of atoms
**Spin magnetization**: 0.00 μB/f.u.

Unit cell a=5.651 b=14.646 c=14.327 alpha=90.00 beta=90.00 gamma=90.00
Space group Cmcm (No. 63)
Inequivalent atoms, fractional coordinates:
Na 0.000 0.148 0.055 [8 per cell]
Dy 0.000 0.183 0.750 [4 per cell]
Br 0.000 0.046 0.621 [8 per cell]
Br 0.000 0.283 0.250 [4 per cell]
Br 0.000 0.307 0.596 [8 per cell]

***

(10)
Material: Tb4Er3PuS8
Method: DFT, GGA-PBE
State: relaxed

**Energy**: -6.945 eV per atom
**N(E_F)**: 0.7468 states/eV/atom
**Spin magnetization**: 5.74 μB/f.u.

Unit cell a=7.8077 b=7.8077 c=19.1517 alpha=90.00 beta=90.00 gamma=120.00
Space group R-3m (No. 166, hexagonal axes)
Inequivalent atoms, fractional coordinates:
Tb 0.0000 0.0000 0.0000 [3 per cell]
Tb 0.0000 0.5000 0.0000 [9 per cell]
Er 0.0000 0.5000 0.5000 [9 per cell]
Pu 0.0000 0.0000 0.5000 [3 per cell]
S 0.0000 0.0000 0.2480 [6 per cell]
S 0.0032 0.5016 0.7512 [18 per cell]

***

(11)
Material: Ba2La2Bi2P
Method: DFT, GGA-PBE
State: relaxed

**N(E_F)**: 0.4351 states/eV/atom
**Spin magnetization**: 0.00 μB/f.u.
**ΔH_f (0 K)**: -1.043 eV/atom

Unit cell a=5.582 b=5.582 c=18.210 alpha=90.00 beta=90.00 gamma=90.00
Space group I4/mmm (No. 139)
Inequivalent atoms, fractional coordinates:
Ba 0.000 0.000 0.175 [4 per cell]
La 0.000 0.500 0.000 [4 per cell]
Bi 0.000 0.000 0.375 [4 per cell]
P 0.000 0.000 0.000 [2 per cell]

***

Question: Look up the spin magnetization of the tenth one.
Answer: 5.74 μB/f.u.

***

Question: Look up the spin magnetization of the tenth one.
Answer: 5.74 μB/f.u.

***

Question: Among the records above, which one has the highest spin magnetization?
Answer: Tb4Er3PuS8